1.
{
  "formula": "TbPr2Tl3S6",
  "functional": "PBE",
  "state": "optimized geometry",
  "total_energy_ev_per_atom": -5.295,
  "sg": "C2/m",
  "raw_formation_energy_kj_per_mol_atoms": -140.6,
  "lattice": [[-4.566, 5.227, 1.953], [-2.455, -5.808, -3.496], [1.185, -3.263, 7.068]],
  "species": ["Tb", "Pr", "Pr", "Tl", "Tl", "Tl", "S", "S", "S", "S", "S", "S"],
  "frac_coords": [[0.000, 0.000, 0.000], [0.333, 0.667, 0.000], [0.667, 0.333, 0.000], [0.167, 0.833, 0.500], [0.833, 0.167, 0.500], [0.500, 0.500, 0.500], [0.932, 0.609, 0.797], [0.744, 0.744, 0.205], [0.068, 0.391, 0.203], [0.609, 0.932, 0.797], [0.256, 0.256, 0.795], [0.391, 0.068, 0.203]]
}

2.
{
  "formula": "TbPrTl2S4",
  "functional": "PBE",
  "state": "optimized geometry",
  "total_energy_ev_per_atom": -5.294,
  "sg": "P2/m",
  "raw_formation_energy_kj_per_mol_atoms": -141.1,
  "lattice": [[4.133, 0.000, 0.000], [0.000, 7.164, 0.124], [0.000, -2.514, 7.463]],
  "species": ["Tb", "Pr", "Tl", "Tl", "S", "S", "S", "S"],
  "frac_coords": [[0.000, 0.000, 0.000], [0.500, 0.500, 0.000], [0.500, 0.000, 0.500], [0.000, 0.500, 0.500], [0.500, 0.225, 0.200], [0.500, 0.775, 0.800], [0.000, 0.257, 0.796], [0.000, 0.743, 0.204]]
}

3.
{
  "formula": "TbPr2TmS6",
  "functional": "PBE",
  "state": "optimized geometry",
  "total_energy_ev_per_atom": -6.375,
  "sg": "R3",
  "raw_formation_energy_kj_per_mol_atoms": -196.1,
  "lattice": [[7.076, 0.000, 0.000], [3.538, 6.128, 0.000], [3.538, 2.043, 6.187]],
  "species": ["Tb", "Pr", "Pr", "Tm", "S", "S", "S", "S", "S", "S"],
  "frac_coords": [[0.316, 0.316, 0.052], [0.523, 0.523, 0.430], [0.024, 0.024, 0.928], [0.817, 0.817, 0.548], [0.607, 0.194, 0.261], [0.194, 0.937, 0.261], [0.937, 0.607, 0.261], [0.443, 0.698, 0.758], [0.698, 0.101, 0.758], [0.101, 0.443, 0.758]]
}

Question: What is the formula in the second record?
Answer: TbPrTl2S4